No. 1
Computed, not measured: a relaxed structure of SmHo2ThSc at the PBE-GGA level of DFT.

```
data_SmHo2ThSc
_chemical_formula_sum 'Sm2 Ho4 Th2 Sc2'
_symmetry_space_group_name_H-M 'P 1 21/m 1'
_symmetry_Int_Tables_number 11
_cell_length_a 7.795
_cell_length_b 4.992
_cell_length_c 7.845
_cell_angle_alpha 90.00
_cell_angle_beta 90.50
_cell_angle_gamma 90.00
loop_
_symmetry_equiv_pos_as_xyz
'x,y,z'
'-x,-y,-z'
'-x,y+1/2,-z'
'x,-y+1/2,z'
loop_
_atom_site_label
_atom_site_type_symbol
_atom_site_fract_x
_atom_site_fract_y
_atom_site_fract_z
Sm1 Sm 0.248 0.250 0.246
Ho1 Ho 0.158 0.750 0.947
Ho2 Ho 0.347 0.750 0.550
Th1 Th 0.054 0.250 0.649
Sc1 Sc 0.450 0.250 0.851
```

## Properties
E_form	0.052	eV per atom

No. 2
Computed, not measured: a relaxed structure of HoZr3Sb2 at the PBE-GGA level of DFT.

```
data_HoZr3Sb2
_chemical_formula_sum 'Ho4 Zr12 Sb8'
_symmetry_space_group_name_H-M 'C 1 2/m 1'
_symmetry_Int_Tables_number 12
_cell_length_a 17.659
_cell_length_b 4.026
_cell_length_c 9.063
_cell_angle_alpha 90.00
_cell_angle_beta 114.60
_cell_angle_gamma 90.00
loop_
_symmetry_equiv_pos_as_xyz
'x,y,z'
'-x,-y,-z'
'-x,y,-z'
'x,-y,z'
'x+1/2,y+1/2,z'
'-x+1/2,-y+1/2,-z'
'-x+1/2,y+1/2,-z'
'x+1/2,-y+1/2,z'
loop_
_atom_site_label
_atom_site_type_symbol
_atom_site_fract_x
_atom_site_fract_y
_atom_site_fract_z
Ho1 Ho 0.112 0.000 0.122
Zr1 Zr 0.058 0.000 0.659
Zr2 Zr 0.148 0.500 0.478
Zr3 Zr 0.186 0.500 0.896
Sb1 Sb 0.009 0.500 0.831
Sb2 Sb 0.246 0.000 0.723
```

## Properties
ΔE_f (raw)	-0.57	eV/atom

No. 3
Computed, not measured: a relaxed structure of Zn3SbRh at the PBE-GGA level of DFT.

```
data_Zn3SbRh
_chemical_formula_sum 'Zn3 Sb1 Rh1'
_symmetry_space_group_name_H-M 'P m -3 m'
_symmetry_Int_Tables_number 221
_symmetry_space_group_name_Hall '-P 4 2 3'
_cell_length_a 4.766
_cell_length_b 4.766
_cell_length_c 4.766
_cell_angle_alpha 90.00
_cell_angle_beta 90.00
_cell_angle_gamma 90.00
loop_
_atom_site_label
_atom_site_type_symbol
_atom_site_fract_x
_atom_site_fract_y
_atom_site_fract_z
Zn1 Zn 0.000 0.000 0.500
Sb1 Sb 0.500 0.500 0.500
Rh1 Rh 0.000 0.000 0.000
```

## Properties
energy relative to the lowest polymorph listed for this composition	0.0	meV per atom
ΔE_f (raw)	0.27	eV/atom